# GGA-PBE SbPIr4, relaxed
# uncorrected formation energy	4.14	eV/f.u.
# D(E_F)	7.8	states/eV/f.u.
# ρ	14.71	Mg/m³
# raw total energy	-6.81	eV per atom
data_SbPIr4
_symmetry_space_group_name_H-M 'F -4 3 m'
_symmetry_Int_Tables_number 216
_symmetry_space_group_name_Hall 'F -4 2 3'
_cell_length_a 7.4653
_cell_length_b 7.4653
_cell_length_c 7.4653
_cell_angle_alpha 90.00
_cell_angle_beta 90.00
_cell_angle_gamma 90.00
loop_
_atom_site_label
_atom_site_fract_x
_atom_site_fract_y
_atom_site_fract_z
_atom_site_occupancy
Sb1 0.0000 0.0000 0.0000 1
P1 0.2500 0.2500 0.2500 1
Ir1 0.1245 0.1245 0.6245 1

=====

# GGA-PBE Tb6SmNi3, relaxed
# D(E_F)	10.4	states/eV/f.u.
# DFT formation energy	-2.14	eV/f.u.
# ρ	8.34	Mg/m³
# raw total energy	-5.20	eV per atom
data_Tb6SmNi3
_symmetry_space_group_name_H-M 'C m c 21'
_symmetry_Int_Tables_number 36
_cell_length_a 11.0953
_cell_length_b 13.0369
_cell_length_c 7.0512
_cell_angle_alpha 90.00
_cell_angle_beta 90.00
_cell_angle_gamma 90.00
loop_
_symmetry_equiv_pos_as_xyz
'x,y,z'
'-x,-y,z+1/2'
'-x,y,z'
'x,-y,z+1/2'
'x+1/2,y+1/2,z'
'-x+1/2,-y+1/2,z+1/2'
'-x+1/2,y+1/2,z'
'x+1/2,-y+1/2,z+1/2'
loop_
_atom_site_label
_atom_site_fract_x
_atom_site_fract_y
_atom_site_fract_z
_atom_site_occupancy
Tb1 0.0000 0.0315 0.0000 1
Tb2 0.0000 0.2271 0.6528 1
Tb3 0.1677 0.4623 0.4929 1
Tb4 0.2260 0.1915 0.3448 1
Sm1 0.0000 0.3196 0.1162 1
Ni1 0.0000 0.4196 0.7836 1
Ni2 0.1926 0.1055 0.7102 1